1.
An optimized crystal structure of TbTl2Cd2. Source: the Alexandria database, functional PBE-GGA.

Cell and atoms, written as POSCAR:
```
TbTl2Cd2
1.0
4.230 0.000 0.000
0.000 4.230 0.000
0.000 0.000 15.273
Tb Tl Cd
2 4 4
direct
0.000 0.000 0.000
0.500 0.500 0.500
0.000 0.000 0.398
0.000 0.000 0.602
0.500 0.500 0.102
0.500 0.500 0.898
0.000 0.500 0.250
0.000 0.500 0.750
0.500 0.000 0.250
0.500 0.000 0.750
```

Size of the total moment (μB per formula unit): 0.00
Uncorrected energy (eV/atom): -2.2380
Space-group type: No. 139
Density of states at the Fermi level (states/eV per cell): 6.39

***

2.
An optimized crystal structure of Cd2CoBr. Source: the Alexandria database, functional PBE-GGA.

Cell and atoms, written as POSCAR:
```
Cd2CoBr
1.0
3.107 0.000 0.000
0.000 4.249 0.000
0.000 0.000 12.859
Cd Co Br
4 2 2
direct
0.000 0.000 0.188
0.000 0.000 0.812
0.500 0.500 0.312
0.500 0.500 0.688
0.000 0.500 0.500
0.500 0.000 0.000
0.000 0.500 0.000
0.500 0.000 0.500
```

Size of the total moment (μB per formula unit): 1.54
Formation energy without anion corrections (eV/atom): 0.2891
Uncorrected energy (eV/atom): -2.3632
Energy above the most stable polymorph in this dataset (eV/atom): 0.178
Space-group type: No. 71
Density of states at the Fermi level (states/eV per cell): 9.83

***

3.
An optimized crystal structure of LaRu2Au. Source: the Alexandria database, functional PBE-GGA.

Cell and atoms, written as POSCAR:
```
LaRu2Au
1.0
2.947 0.000 0.000
-1.473 2.552 0.000
0.000 0.000 29.633
La Ru Au
3 6 3
direct
0.000 0.000 0.000
0.333 0.667 0.667
0.667 0.333 0.333
0.000 0.000 0.241
0.000 0.000 0.509
0.333 0.667 0.176
0.333 0.667 0.908
0.667 0.333 0.574
0.667 0.333 0.842
0.000 0.000 0.763
0.333 0.667 0.429
0.667 0.333 0.096
```

Size of the total moment (μB per formula unit): 0.62
Uncorrected energy (eV/atom): -6.2559
Energy above the most stable polymorph in this dataset (eV/atom): 0.349
Space-group type: No. 160
Density of states at the Fermi level (states/eV per cell): 12.31

***

4.
An optimized crystal structure of Ac3Ce4Pb4. Source: the Alexandria database, functional PBE-GGA.

Cell and atoms, written as POSCAR:
```
Ac3Ce4Pb4
1.0
-4.743 4.743 4.743
4.743 -4.743 4.743
4.743 4.743 -4.743
Ac Ce Pb
3 4 4
direct
0.000 0.500 0.500
0.500 0.000 0.500
0.500 0.500 0.000
0.000 0.000 0.763
0.000 0.763 0.000
0.237 0.237 0.237
0.763 0.000 0.000
0.000 0.000 0.399
0.000 0.399 0.000
0.399 0.000 0.000
0.601 0.601 0.601
```

Size of the total moment (μB per formula unit): 4.71
Uncorrected energy (eV/atom): -4.6762
Space-group type: No. 217
Density of states at the Fermi level (states/eV per cell): 27.54